Computed, not measured: a geometry-optimized Nd3Tm8Mg structure at the PBE-GGA level of DFT.

extended XYZ file:
```
12
Lattice="-6.8011 4.6887 0.2815 -0.6171 -7.2748 -3.8750 2.6704 -3.1684 7.1519" Properties=species:S:1:pos:R:3 pbc="T T T"
Nd -3.1958 -3.9038 -0.9775
Nd -1.5521 -1.8507 4.5359
Nd 1.0266 -5.2216 1.6385
Tm -2.7979 -0.1653 0.8957
Tm -1.9859 -5.4067 2.6055
Tm 0.1922 -6.3776 -1.1921
Tm 1.8970 -4.2481 4.5263
Tm -0.9550 -2.6942 1.2880
Tm -4.8396 2.2637 0.5998
Tm 1.9651 -7.3651 3.8661
Tm 1.1349 -8.4022 1.0814
Mg 0.0000 0.0000 0.0000
```

Summary:
For the volume, the calculation gives 415.5 Å³/cell. As for the space group: No. 121. The value obtained for the formation energy is 14.0 kcal/mol of atoms.